Ni2AgIr | GGA-PBE | optimized geometry

**ΔH_f (0 K)**: 294 meV/atom
**Size of the total moment**: 1.58 μB per formula unit
**Theoretical density**: 12.42 Mg/m³
**Excess energy over the best structure of this formula in the dataset**: 0.1592 eV per atom

Lattice parameters (Å, degrees): 2.7347 4.5787 8.9176 90.00 90.00 90.00
Fractional positions:
Ni 0.0000 0.0000 0.2398
Ni 0.0000 0.0000 0.7602
Ni 0.5000 0.5000 0.2398
Ni 0.5000 0.5000 0.7602
Ag 0.0000 0.5000 0.5000
Ag 0.5000 0.0000 0.5000
Ir 0.0000 0.5000 0.0000
Ir 0.5000 0.0000 0.0000